The following is a DFT calculation (GGA-PBE) of a relaxed BiAuOF2 crystal.

DOS(E_F) (states/eV/f.u.): 2.9
VASP energy (Ry/atom): -0.266
Relative energy among the computed polymorphs (meV/atom): 513.6

Cell: 4.524 4.524 4.100 Å, 90.00 90.00 90.00°
Space group P4/mmm (No. 123)
Unique sites:
Bi 0.000 0.000 0.000 [1 per cell]
Au 0.500 0.500 0.500 [1 per cell]
O 0.500 0.500 0.000 [1 per cell]
F 0.000 0.500 0.500 [2 per cell]